Entry 1:
# Be2CoRh (PBE-GGA, relaxed)
data_Be2CoRh
_chemical_formula_sum 'Be6 Co3 Rh3'
_cell_length_a 2.5801
_cell_length_b 2.5801
_cell_length_c 23.0056
_cell_angle_alpha 90.00
_cell_angle_beta 90.00
_cell_angle_gamma 120.00
_space_group_name_H-M_alt 'R 3 m'
_space_group_IT_number 160
_space_group_name_Hall 'R 3 -2"'
loop_
_atom_site_label
_atom_site_type_symbol
_atom_site_fract_x
_atom_site_fract_y
_atom_site_fract_z
Be1 Be 0.0000 0.0000 0.0000
Be2 Be 0.0000 0.0000 0.2489
Co1 Co 0.0000 0.0000 0.7423
Rh1 Rh 0.0000 0.0000 0.5030
# Crystal system = trigonal



Entry 2:
# BeCoRh2 (PBE-GGA, relaxed)
data_BeCoRh2
_chemical_formula_sum 'Be4 Co4 Rh8'
_cell_length_a 3.676
_cell_length_b 3.676
_cell_length_c 16.113
_cell_angle_alpha 90.00
_cell_angle_beta 90.00
_cell_angle_gamma 90.00
_space_group_name_H-M_alt 'I -4 2 d'
_space_group_IT_number 122
_space_group_name_Hall 'I -4 2bw'
loop_
_atom_site_label
_atom_site_type_symbol
_atom_site_fract_x
_atom_site_fract_y
_atom_site_fract_z
Be1 Be 0.000 0.000 0.000
Co1 Co 0.000 0.000 0.500
Rh1 Rh 0.238 0.250 0.125
# Crystal system = tetragonal



Entry 3:
# BeCo2Rh2 (PBE-GGA, relaxed)
data_BeCo2Rh2
_chemical_formula_sum 'Be2 Co4 Rh4'
_cell_length_a 5.494
_cell_length_b 5.494
_cell_length_c 4.013
_cell_angle_alpha 90.00
_cell_angle_beta 90.00
_cell_angle_gamma 90.00
_space_group_name_H-M_alt 'P 4/m b m'
_space_group_IT_number 127
_space_group_name_Hall '-P 4 2ab'
loop_
_atom_site_label
_atom_site_type_symbol
_atom_site_fract_x
_atom_site_fract_y
_atom_site_fract_z
Be1 Be 0.000 0.000 0.000
Co1 Co 0.142 0.358 0.000
Rh1 Rh 0.170 0.670 0.500
# Crystal system = tetragonal



Entry 4:
# BeCo2Rh (PBE-GGA, relaxed)
data_BeCo2Rh
_chemical_formula_sum 'Be4 Co8 Rh4'
_cell_length_a 3.295
_cell_length_b 3.295
_cell_length_c 17.523
_cell_angle_alpha 90.00
_cell_angle_beta 90.00
_cell_angle_gamma 90.00
_space_group_name_H-M_alt 'I -4 2 d'
_space_group_IT_number 122
_space_group_name_Hall 'I -4 2bw'
loop_
_atom_site_label
_atom_site_type_symbol
_atom_site_fract_x
_atom_site_fract_y
_atom_site_fract_z
Be1 Be 0.000 0.000 0.000
Co1 Co 0.226 0.250 0.125
Rh1 Rh 0.000 0.000 0.500
# Crystal system = tetragonal



Entry 5:
# BeCoRh2 (PBE-GGA, relaxed)
data_BeCoRh2
_chemical_formula_sum 'Be4 Co4 Rh8'
_cell_length_a 5.851
_cell_length_b 5.851
_cell_length_c 5.851
_cell_angle_alpha 90.00
_cell_angle_beta 90.00
_cell_angle_gamma 90.00
_space_group_name_H-M_alt 'F -4 3 m'
_space_group_IT_number 216
_space_group_name_Hall 'F -4 2 3'
loop_
_atom_site_label
_atom_site_type_symbol
_atom_site_fract_x
_atom_site_fract_y
_atom_site_fract_z
Be1 Be 0.000 0.000 0.000
Co1 Co 0.250 0.250 0.250
Rh1 Rh 0.000 0.000 0.500
Rh2 Rh 0.250 0.250 0.750
# Crystal system = cubic



Entry 6:
# Be2CoRh (PBE-GGA, relaxed)
data_Be2CoRh
_chemical_formula_sum 'Be6 Co3 Rh3'
_cell_length_a 2.6493
_cell_length_b 2.6493
_cell_length_c 20.7841
_cell_angle_alpha 90.00
_cell_angle_beta 90.00
_cell_angle_gamma 120.00
_space_group_name_H-M_alt 'R -3 m'
_space_group_IT_number 166
_space_group_name_Hall '-R 3 2"'
loop_
_atom_site_label
_atom_site_type_symbol
_atom_site_fract_x
_atom_site_fract_y
_atom_site_fract_z
Be1 Be 0.0000 0.0000 0.2470
Co1 Co 0.0000 0.0000 0.5000
Rh1 Rh 0.0000 0.0000 0.0000
# Crystal system = trigonal



Calculated values (eV per atom) of energy for the records, taken in order: -5.408; -6.009; -6.402; -6.128; -6.298; -5.622.